(1)
A plane-wave DFT calculation with PBE was carried out for a relaxed structure of PrPa2RhN4.

Properties
Energy   -0.3429 hartree per atom
DOS at the Fermi energy   0.199 states/eV per atom
Density   10.42 g/cm³
Raw formation energy   -123.36 kJ per mole of atoms

a b c (Å): 3.5598 11.6188 11.7456
angles (deg): 90.00 90.00 90.00
Last column: nearest neighbours and their distance in Å.
Space group Cmcm (No. 63)
Unique sites:
Pr 0.0000 0.1060 0.2500 x4  2 N 2.46
Pa 0.0000 0.3688 0.0622 x8  6 N 2.22-2.45
Rh 0.0000 0.1570 0.7500 x4  4 N 2.20-2.23
N 0.0000 0.0000 0.0000 x4  4 Pa 2.45
N 0.0000 0.2691 0.5995 x8  1 Rh 2.20, 3 Pa 2.22-2.44
N 0.0000 0.4593 0.2500 x4  2 Rh 2.23, 2 Pa 2.44, 2 Pr 2.46

(2)
A plane-wave DFT calculation with PBE was carried out for a relaxed structure of YIr2SeI.

Properties
Energy   -0.2003 hartree per atom
DOS at the Fermi energy   1.317 states/eV per atom
Density   9.32 g/cm³
Raw formation energy   37.89 kJ per mole of atoms

a b c (Å): 4.6536 4.6536 5.5853
angles (deg): 90.00 90.00 90.00
Last column: nearest neighbours and their distance in Å.
Space group P4/mmm (No. 123)
Unique sites:
Y 0.0000 0.0000 0.0000 x1  2 Se 2.79
Ir 0.0000 0.5000 0.5000 x2  2 Se 2.33
Se 0.0000 0.0000 0.5000 x1  4 Ir 2.33
I 0.5000 0.5000 0.0000 x1  4 Y 3.29, 8 Ir 3.63

(3)
A plane-wave DFT calculation with PBE was carried out for a relaxed structure of LiCd2Ga.

Properties
Energy   -0.0672 hartree per atom
DOS at the Fermi energy   0.531 states/eV per atom
Density   6.48 g/cm³

a b c (Å): 4.3148 4.3148 4.1478
angles (deg): 90.00 90.00 90.00
Last column: nearest neighbours and their distance in Å.
Space group P4/mmm (No. 123)
Unique sites:
Li 0.0000 0.0000 0.0000 x1  8 Cd 2.99, 4 Ga 3.05
Cd 0.0000 0.5000 0.5000 x2  4 Li 2.99, 4 Ga 2.99, 4 Cd 3.05
Ga 0.5000 0.5000 0.0000 x1  8 Cd 2.99, 4 Li 3.05

(4)
A plane-wave DFT calculation with PBE was carried out for a relaxed structure of UIn2Au.

Properties
Energy   -0.1780 hartree per atom
DOS at the Fermi energy   2.002 states/eV per atom
Density   11.70 g/cm³

a b c (Å): 5.1142 5.1142 12.4896
angles (deg): 90.00 90.00 120.00
Last column: nearest neighbours and their distance in Å.
Space group R-3m (No. 166, hexagonal axes)
Unique sites:
U 0.0000 0.0000 0.0000 x3  8 In 3.13
In 0.0000 0.0000 0.2504 x6  4 Au 3.12-3.13, 4 U 3.13
Au 0.0000 0.0000 0.5000 x3  8 In 3.12-3.13

Q: What is the DOS at the Fermi energy in the second record?
A: 1.317 states/eV per atom